(1)
Tm2Be15Fe2: relaxed, GGA-PBE.

Volume, Å³/cell: 195
Total magnetization, μB/cell: 1.96
SG: R-3m, No. 166
Energy of formation from the pure elements, eV/atom: -0.169

Cell lengths 5.8284, 5.8284, 5.8284 Å; angles 83.84, 83.84, 83.84 degrees
Positions (direct):
Tm 0.1576 0.1576 0.1576
Tm 0.8424 0.8424 0.8424
Be 0.0000 0.5000 0.5000
Be 0.1630 0.1630 0.6487
Be 0.1630 0.6487 0.1630
Be 0.2221 0.5000 0.7779
Be 0.2221 0.7779 0.5000
Be 0.3513 0.8370 0.8370
Be 0.5000 0.0000 0.5000
Be 0.5000 0.2221 0.7779
Be 0.5000 0.5000 0.0000
Be 0.5000 0.7779 0.2221
Be 0.6487 0.1630 0.1630
Be 0.7779 0.2221 0.5000
Be 0.7779 0.5000 0.2221
Be 0.8370 0.3513 0.8370
Be 0.8370 0.8370 0.3513
Fe 0.4022 0.4022 0.4022
Fe 0.5978 0.5978 0.5978

---

(2)
CaZnSi2: relaxed, GGA-PBE.

Volume, Å³/cell: 79
Raw formation energy, eV/atom: -0.04
Total magnetization, μB/cell: 0.00
SG: Pmmm, No. 47

Cell lengths 3.1680, 4.1278, 6.0463 Å; angles 90.00, 90.00, 90.00 degrees
Positions (direct):
Ca 0.0000 0.0000 0.0000
Zn 0.5000 0.0000 0.5000
Si 0.5000 0.5000 0.2852
Si 0.5000 0.5000 0.7148

---

(3)
Zr2FeOs: relaxed, GGA-PBE.

Volume, Å³/cell: 68
Total magnetization, μB/cell: 0.15
SG: P4/mmm, No. 123
Energy of formation from the pure elements, eV/atom: -0.349

Cell lengths 4.5848, 4.5848, 3.2446 Å; angles 90.00, 90.00, 90.00 degrees
Positions (direct):
Zr 0.0000 0.5000 0.0000
Zr 0.5000 0.0000 0.0000
Fe 0.0000 0.0000 0.5000
Os 0.5000 0.5000 0.5000

---

(4)
CdPt5Rh4: relaxed, GGA-PBE.

Volume, Å³/cell: 154
Total magnetization, μB/cell: 0.00
SG: P4/mmm, No. 123
Energy of formation from the pure elements, eV/atom: -0.065

Cell lengths 2.7919, 2.7919, 19.7425 Å; angles 90.00, 90.00, 90.00 degrees
Positions (direct):
Cd 0.0000 0.0000 0.0000
Pt 0.5000 0.5000 0.1093
Pt 0.5000 0.5000 0.3046
Pt 0.5000 0.5000 0.5000
Pt 0.5000 0.5000 0.6954
Pt 0.5000 0.5000 0.8907
Rh 0.0000 0.0000 0.2079
Rh 0.0000 0.0000 0.4016
Rh 0.0000 0.0000 0.5984
Rh 0.0000 0.0000 0.7921

---

Which of these has the lowest volume?
Zr2FeOs

---

Number 2 is which compound?
CaZnSi2

---

The lowest volume belongs to which entry?
Zr2FeOs

---

The lowest volume belongs to which entry?
Zr2FeOs